# PBE NaLiAu, optimized geometry
# Final energy (eV/atom): -2.338
# Mass density (kg/m3): 6024
# V (Å³/cell): 250
# Crystal system: cubic
data_NaLiAu
_symmetry_space_group_name_H-M 'F -4 3 m'
_symmetry_Int_Tables_number 216
_symmetry_space_group_name_Hall 'F -4 2 3'
_cell_length_a 6.301
_cell_length_b 6.301
_cell_length_c 6.301
_cell_angle_alpha 90.00
_cell_angle_beta 90.00
_cell_angle_gamma 90.00
loop_
_atom_site_label
_atom_site_type_symbol
_atom_site_fract_x
_atom_site_fract_y
_atom_site_fract_z
Na1 Na 0.000 0.000 0.000
Li1 Li 0.250 0.250 0.750
Au1 Au 0.000 0.000 0.500

=====

# PBE Re3Se4I, optimized geometry
# Final energy (eV/atom): -7.006
# Total magnetic moment (μB per cell): 0.00
# Mass density (kg/m3): 7808
# V (Å³/cell): 852
# Crystal system: monoclinic
data_Re3Se4I
_symmetry_space_group_name_H-M 'P 1 21/c 1'
_symmetry_Int_Tables_number 14
_cell_length_a 6.672
_cell_length_b 12.196
_cell_length_c 11.526
_cell_angle_alpha 90.00
_cell_angle_beta 114.73
_cell_angle_gamma 90.00
loop_
_symmetry_equiv_pos_as_xyz
'x,y,z'
'-x,-y,-z'
'-x,y+1/2,-z+1/2'
'x,-y+1/2,z+1/2'
loop_
_atom_site_label
_atom_site_type_symbol
_atom_site_fract_x
_atom_site_fract_y
_atom_site_fract_z
Re1 Re 0.036 0.142 0.448
Re2 Re 0.039 0.057 0.659
Re3 Re 0.301 0.523 0.060
Se1 Se 0.222 0.711 0.959
Se2 Se 0.270 0.065 0.341
Se3 Se 0.296 0.602 0.261
Se4 Se 0.364 0.165 0.663
I1 I 0.109 0.136 0.902

=====

# PBE LaDyAs2Pt2, optimized geometry
# Total magnetic moment (μB per cell): 0.01
# Mass density (kg/m3): 10918
# V (Å³/cell): 256
# Crystal system: hexagonal
# Energy above the most stable polymorph in this dataset (meV per atom): 0
data_LaDyAs2Pt2
_symmetry_space_group_name_H-M 'P 63/m m c'
_symmetry_Int_Tables_number 194
_symmetry_space_group_name_Hall '-P 6c 2c'
_cell_length_a 4.3446
_cell_length_b 4.3446
_cell_length_c 15.6566
_cell_angle_alpha 90.00
_cell_angle_beta 90.00
_cell_angle_gamma 120.00
loop_
_atom_site_label
_atom_site_type_symbol
_atom_site_fract_x
_atom_site_fract_y
_atom_site_fract_z
La1 La 0.0000 0.0000 0.0000
Dy1 Dy 0.0000 0.0000 0.2500
As1 As 0.3333 0.6667 0.1216
Pt1 Pt 0.3333 0.6667 0.6433

=====

# PBE NdDyGa6, optimized geometry
# Final energy (eV/atom): -3.995
# Total magnetic moment (μB per cell): 0.00
# Mass density (kg/m3): 7571
# V (Å³/cell): 159
# Crystal system: hexagonal
data_NdDyGa6
_symmetry_space_group_name_H-M 'P -6 m 2'
_symmetry_Int_Tables_number 187
_symmetry_space_group_name_Hall 'P -6 2'
_cell_length_a 6.3510
_cell_length_b 6.3510
_cell_length_c 4.5526
_cell_angle_alpha 90.00
_cell_angle_beta 90.00
_cell_angle_gamma 120.00
loop_
_atom_site_label
_atom_site_type_symbol
_atom_site_fract_x
_atom_site_fract_y
_atom_site_fract_z
Nd1 Nd 0.0000 0.0000 0.0000
Dy1 Dy 0.6667 0.3333 0.5000
Ga1 Ga 0.0383 0.5191 0.0000
Ga2 Ga 0.1887 0.3775 0.5000

=====

# PBE Li3TcO4, optimized geometry
# Total magnetic moment (μB per cell): 4.00
# Mass density (kg/m3): 4226
# V (Å³/cell): 144
# Crystal system: monoclinic
# Energy above the most stable polymorph in this dataset (meV per atom): 15
data_Li3TcO4
_symmetry_space_group_name_H-M 'P 1 2/c 1'
_symmetry_Int_Tables_number 13
_cell_length_a 5.098
_cell_length_b 5.871
_cell_length_c 5.116
_cell_angle_alpha 90.00
_cell_angle_beta 110.23
_cell_angle_gamma 90.00
loop_
_symmetry_equiv_pos_as_xyz
'x,y,z'
'-x,-y,-z'
'-x,y,-z+1/2'
'x,-y,z+1/2'
loop_
_atom_site_label
_atom_site_type_symbol
_atom_site_fract_x
_atom_site_fract_y
_atom_site_fract_z
Li1 Li 0.000 0.104 0.250
Li2 Li 0.000 0.369 0.750
Li3 Li 0.500 0.125 0.750
Tc1 Tc 0.500 0.353 0.250
O1 O 0.256 0.137 0.017
O2 O 0.272 0.387 0.501

=====

# PBE NaSmTl2I6, optimized geometry
# Final energy (eV/atom): -2.990
# Total magnetic moment (μB per cell): 0.00
# Mass density (kg/m3): 4869
# V (Å³/cell): 1833
# Crystal system: cubic
data_NaSmTl2I6
_symmetry_space_group_name_H-M 'F m -3 m'
_symmetry_Int_Tables_number 225
_symmetry_space_group_name_Hall '-F 4 2 3'
_cell_length_a 12.238
_cell_length_b 12.238
_cell_length_c 12.238
_cell_angle_alpha 90.00
_cell_angle_beta 90.00
_cell_angle_gamma 90.00
loop_
_atom_site_label
_atom_site_type_symbol
_atom_site_fract_x
_atom_site_fract_y
_atom_site_fract_z
Na1 Na 0.000 0.000 0.000
Sm1 Sm 0.000 0.000 0.500
Tl1 Tl 0.250 0.250 0.250
I1 I 0.000 0.000 0.251